Record 1
## Sm3Co7Ru2 (PBE-GGA)

Data for a relaxed Sm3Co7Ru2 crystal.

abc: 5.0660 5.0660 8.8340
angles: 73.34 73.34 60.00
Fractional positions:
Sm (0.0000, 0.0000, 0.0000)
Sm (0.8607, 0.8607, 0.4180)
Sm (0.1393, 0.1393, 0.5820)
Co (0.5000, 0.5000, 0.5000)
Co (0.9149, 0.4184, 0.2483)
Co (0.4184, 0.9149, 0.2483)
Co (0.4184, 0.4184, 0.2483)
Co (0.0851, 0.5816, 0.7517)
Co (0.5816, 0.5816, 0.7517)
Co (0.5816, 0.0851, 0.7517)
Ru (0.6670, 0.6670, 0.9989)
Ru (0.3330, 0.3330, 0.0011)

calculated formation energy = -59.7 meV per atom
space-group type = R-3m

---

Record 2
## NaSnI2 (PBE-GGA)

Data for a relaxed NaSnI2 crystal.

abc: 6.5000 7.8002 8.0797
angles: 113.39 101.42 100.19
Fractional positions:
I (0.3765, 0.1581, 0.1391)
I (0.9963, 0.8302, 0.3786)
I (0.8273, 0.2858, 0.8472)
I (0.3653, 0.5798, 0.7053)
Na (0.2946, 0.1955, 0.7545)
Na (0.0601, 0.7312, 0.9779)
Sn (0.8559, 0.1503, 0.1473)
Sn (0.8995, 0.5170, 0.4994)

offset from the most stable computed form = 47 meV per atom
space-group type = P1
formation energy (no corrections) = -0.65 eV/atom

---

Record 3
## YRhO2F (PBE-GGA)

Data for a relaxed YRhO2F crystal.

abc: 4.0614 4.0614 4.0271
angles: 90.00 90.00 90.00
Fractional positions:
Y (0.5000, 0.5000, 0.5000)
Rh (0.0000, 0.0000, 0.0000)
O (0.0000, 0.5000, 0.0000)
O (0.5000, 0.0000, 0.0000)
F (0.0000, 0.0000, 0.5000)

space-group type = P4/mmm
formation energy (no corrections) = -1.50 eV/atom

---

Record 4
## LiLaF3 (PBE-GGA)

Data for a relaxed LiLaF3 crystal.

abc: 4.7393 4.7393 4.7393
angles: 90.00 90.00 90.00
Fractional positions:
F (0.0000, 0.5000, 0.0000)
F (0.0000, 0.0000, 0.5000)
F (0.5000, 0.0000, 0.0000)
La (0.0000, 0.0000, 0.0000)
Li (0.5000, 0.5000, 0.5000)

offset from the most stable computed form = 247 meV per atom
space-group type = Pm-3m
formation energy (no corrections) = -2.98 eV/atom

---

Record 5
## CaMg2Pt (PBE-GGA)

Data for a relaxed CaMg2Pt crystal.

abc: 5.6999 8.0775 15.8400
angles: 90.00 90.00 90.00
Fractional positions:
Ca (0.4608, 0.2500, 0.1361)
Ca (0.9608, 0.7500, 0.3639)
Ca (0.5392, 0.7500, 0.8639)
Ca (0.0392, 0.2500, 0.6361)
Ca (0.7673, 0.2500, 0.3940)
Ca (0.2673, 0.7500, 0.1060)
Ca (0.2327, 0.7500, 0.6060)
Ca (0.7327, 0.2500, 0.8940)
Mg (0.9721, 0.0565, 0.2113)
Mg (0.4721, 0.9435, 0.2887)
Mg (0.0279, 0.5565, 0.7887)
Mg (0.5279, 0.4435, 0.7113)
Mg (0.0279, 0.9435, 0.7887)
Mg (0.5279, 0.0565, 0.7113)
Mg (0.9721, 0.4435, 0.2113)
Mg (0.4721, 0.5565, 0.2887)
Mg (0.7753, 0.5592, 0.0430)
Mg (0.2753, 0.4408, 0.4570)
Mg (0.2247, 0.0592, 0.9570)
Mg (0.7247, 0.9408, 0.5430)
Mg (0.2247, 0.4408, 0.9570)
Mg (0.7247, 0.5592, 0.5430)
Mg (0.7753, 0.9408, 0.0430)
Mg (0.2753, 0.0592, 0.4570)
Pt (0.2587, 0.2500, 0.3121)
Pt (0.7587, 0.7500, 0.1879)
Pt (0.7413, 0.7500, 0.6879)
Pt (0.2413, 0.2500, 0.8121)
Pt (0.9649, 0.2500, 0.0677)
Pt (0.4649, 0.7500, 0.4323)
Pt (0.0351, 0.7500, 0.9323)
Pt (0.5351, 0.2500, 0.5677)

calculated formation energy = -662.7 meV per atom
space-group type = Pnma

---

Record 6
## ScAs2Pt (PBE-GGA)

Data for a relaxed ScAs2Pt crystal.

abc: 3.9940 3.9940 5.9410
angles: 70.40 70.40 59.79
Fractional positions:
As (0.0086, 0.0086, 0.9745)
As (0.4914, 0.4914, 0.5255)
Pt (0.7500, 0.7500, 0.7500)
Sc (0.2500, 0.2500, 0.2500)

calculated formation energy = -620.4 meV per atom
offset from the most stable computed form = 82 meV per atom
space-group type = C2/m

---

Record 7
## Ca2GaPb2 (PBE-GGA)

Data for a relaxed Ca2GaPb2 crystal.

abc: 4.3378 4.3378 9.2654
angles: 76.46 76.46 90.00
Fractional positions:
Pb (0.7500, 0.2500, 0.5000)
Pb (0.2500, 0.7500, 0.5000)
Ca (0.4026, 0.4026, 0.1948)
Ca (0.5974, 0.5974, 0.8052)
Ga (0.0000, 0.0000, 0.0000)

calculated formation energy = -77.9 meV per atom
offset from the most stable computed form = 283 meV per atom
space-group type = I4/mmm

---

Record 8
## PmFeGe (PBE-GGA)

Data for a relaxed PmFeGe crystal.

abc: 3.9889 4.2067 4.2067
angles: 120.00 90.00 90.00
Fractional positions:
Ge (0.1667, 0.0000, 0.0000)
Fe (0.1667, 0.6667, 0.3333)
Pm (0.6667, 0.3333, 0.6667)

calculated formation energy = -370.0 meV per atom
offset from the most stable computed form = 0 meV per atom
space-group type = P-6m2

---

| no. | theoretical density (g/cm3) | total magnetization (μB/cell) |
| --- | --- | --- |
| 1 | 9.6 | 6.80 |
| 2 | 3.7 | 0.00 |
| 3 | 6.1 | 0.18 |
| 4 | 3.2 | 0.00 |
| 5 | 5.2 | 0.00 |
| 6 | 8.6 | 0.00 |
| 7 | 5.7 | 0.00 |
| 8 | 7.4 | 1.80 |